No. 1
{
  "formula": "KCa2Al",
  "functional": "PBE-GGA",
  "state": "optimized geometry",
  "lattice_angstrom": [[1.945, 1.123, 12.098], [-1.945, 1.123, 12.098], [0.000, -2.246, 12.098]],
  "species": ["K", "Ca", "Ca", "Al"],
  "frac_coords": [[0.000, 0.000, 0.000], [0.230, 0.230, 0.230], [0.770, 0.770, 0.770], [0.500, 0.500, 0.500]],
  "volume_a3_per_atom": 39.7,
  "n_ef_per_ev_fu": 5.48,
  "e_form_ev_per_atom": 0.121
}

No. 2
{
  "formula": "NaZnBi2",
  "functional": "PBE-GGA",
  "state": "optimized geometry",
  "lattice_angstrom": [[5.712, 0.000, 0.000], [0.000, 4.608, 0.000], [-1.689, 0.000, 9.280]],
  "species": ["Na", "Na", "Zn", "Zn", "Bi", "Bi", "Bi", "Bi"],
  "frac_coords": [[0.005, 0.250, 0.305], [0.995, 0.750, 0.695], [0.272, 0.750, 0.143], [0.728, 0.250, 0.857], [0.246, 0.250, 0.965], [0.422, 0.250, 0.595], [0.578, 0.750, 0.405], [0.754, 0.750, 0.035]],
  "volume_a3_per_atom": 30.5,
  "n_ef_per_ev_fu": 1.01,
  "e_form_ev_per_atom": -0.084
}